An optimized crystal structure of VS, computed with PBE.

volume: 64.2 Å³ per cell
VASP energy: -7.359 eV per atom
DOS at the Fermi energy: 3.53 states/eV per cell
formation energy from raw total energies: -142 kJ/mol of formula units
total moment: 0.00 μB/atom
symmetry: P2_1/m

Cell: 3.1687 3.1627 6.4090 Å, 90.00 91.90 90.00°
Last column: nearest neighbours and their distance in Å.
Sites, in units of the cell vectors:
S1 0.7591 0.7500 0.7357  5 V 2.35-2.50
S2 0.2409 0.2500 0.2643  5 V 2.35-2.50
V1 0.6959 0.7500 0.1189  5 S 2.35-2.50, 2 V 2.50
V2 0.3041 0.2500 0.8811  5 S 2.35-2.50, 2 V 2.50

=====

An optimized crystal structure of VS, computed with PBE.

volume: 187.2 Å³ per cell
VASP energy: -7.377 eV per atom
DOS at the Fermi energy: 10.40 states/eV per cell
formation energy from raw total energies: -145 kJ/mol of formula units
total moment: 0.00 μB/atom
symmetry: Pmmn

Cell: 3.1787 5.4177 10.8728 Å, 90.00 90.00 90.00°
Last column: nearest neighbours and their distance in Å.
Sites, in units of the cell vectors:
V1 0.0000 0.9982 0.8670  4 S 2.28-2.36
V2 0.5000 0.0018 0.3670  4 S 2.28-2.36
V3 0.5000 0.3243 0.0000  4 S 2.26-2.39
V4 0.0000 0.6757 0.5000  4 S 2.26-2.39
V5 0.5000 0.0018 0.6330  4 S 2.28-2.36
V6 0.0000 0.9982 0.1330  4 S 2.28-2.36
S1 0.5000 0.3450 0.5000  4 V 2.36-2.39
S2 0.0000 0.7279 0.7065  4 V 2.26-2.32
S3 0.0000 0.7279 0.2935  4 V 2.26-2.32
S4 0.5000 0.2721 0.7935  4 V 2.26-2.32
S5 0.0000 0.6550 0.0000  4 V 2.36-2.39
S6 0.5000 0.2721 0.2065  4 V 2.26-2.32

=====

An optimized crystal structure of VS2, computed with PBE.

volume: 75.8 Å³ per cell
VASP energy: -6.079 eV per atom
DOS at the Fermi energy: 1.52 states/eV per cell
formation energy from raw total energies: -83 kJ/mol of formula units
total moment: 0.07 μB/atom
symmetry: Pmmm

Cell: 2.8835 3.4598 7.6005 Å, 90.00 90.00 90.00°
Last column: nearest neighbours and their distance in Å.
Sites, in units of the cell vectors:
V1 0.5000 0.5000 0.5000  4 S 2.25
S1 0.0000 0.5000 0.7267  2 V 2.25
S2 0.0000 0.5000 0.2733  2 V 2.25

=====

An optimized crystal structure of VS, computed with PBE.

volume: 555.9 Å³ per cell
VASP energy: -7.325 eV per atom
DOS at the Fermi energy: 32.31 states/eV per cell
formation energy from raw total energies: -136 kJ/mol of formula units
total moment: 0.00 μB/atom
symmetry: Fddd

Cell: 7.4286 9.1919 8.1405 Å, 90.00 90.00 90.00°
Last column: nearest neighbours and their distance in Å.
Sites, in units of the cell vectors:
S1 0.0104 0.2500 0.7500  4 V 2.28-2.32
S2 0.7604 0.0000 0.0000  4 V 2.28-2.32
S3 0.4896 0.2500 0.7500  4 V 2.28-2.32
S4 0.9896 0.2500 0.2500  4 V 2.28-2.32
S5 0.0104 0.7500 0.2500  4 V 2.28-2.32
S6 0.4896 0.7500 0.2500  4 V 2.28-2.32
S7 0.2396 0.0000 0.0000  4 V 2.28-2.32
S8 0.7396 0.0000 0.5000  4 V 2.28-2.32
S9 0.2604 0.0000 0.5000  4 V 2.28-2.32
S10 0.7396 0.5000 0.0000  4 V 2.28-2.32
S11 0.9896 0.7500 0.7500  4 V 2.28-2.32
S12 0.5104 0.7500 0.7500  4 V 2.28-2.32
S13 0.5104 0.2500 0.2500  4 V 2.28-2.32
S14 0.7604 0.5000 0.5000  4 V 2.28-2.32
S15 0.2604 0.5000 0.0000  4 V 2.28-2.32
S16 0.2396 0.5000 0.5000  4 V 2.28-2.32
V1 0.2500 0.1104 0.2500  4 S 2.28-2.32
V2 0.0000 0.6396 0.0000  4 S 2.28-2.32
V3 0.5000 0.6396 0.5000  4 S 2.28-2.32
V4 0.7500 0.6104 0.2500  4 S 2.28-2.32
V5 0.7500 0.8896 0.2500  4 S 2.28-2.32
V6 0.2500 0.8896 0.7500  4 S 2.28-2.32
V7 0.5000 0.8604 0.0000  4 S 2.28-2.32
V8 0.5000 0.1396 0.0000  4 S 2.28-2.32
V9 0.2500 0.3896 0.2500  4 S 2.28-2.32
V10 0.5000 0.3604 0.5000  4 S 2.28-2.32
V11 0.2500 0.6104 0.7500  4 S 2.28-2.32
V12 0.7500 0.3896 0.7500  4 S 2.28-2.32
V13 0.0000 0.3604 0.0000  4 S 2.28-2.32
V14 0.7500 0.1104 0.7500  4 S 2.28-2.32
V15 0.0000 0.8604 0.5000  4 S 2.28-2.32
V16 0.0000 0.1396 0.5000  4 S 2.28-2.32